Material: AlCo2SnO
Method: DFT, GGA+U
State: relaxed

Unit cell a=4.024 b=4.907 c=4.024 alpha=90.00 beta=90.00 gamma=90.00
Site moments in Bohr magnetons follow the coordinates.
Fractional positions:
Co 0.000 0.000 0.500  2.13
Co 0.500 0.000 0.000  2.32
Sn 0.000 0.500 0.000  0.03
O 0.000 0.000 0.000  0.04
Al 0.500 0.500 0.500  0.00

Summary:
**Magnetic moment**: 4.38 μB per cell
**N(E_F)**: 2.0 states/eV/f.u.
**DFT total energy**: -4.47 eV per atom